VASP calculation (PBE-GGA) on a relaxed LiTaSe2Br crystal.

```
LiTaSe2Br
1.0
4.670 0.000 0.000
0.000 4.670 0.000
0.000 0.000 4.631
Li Ta Se Br
1 1 2 1
Direct
0.000 0.000 0.000
0.500 0.500 0.500
0.000 0.500 0.000
0.500 0.000 0.000
0.000 0.000 0.500
```

## Properties
As for the uncorrected energy: -3.9993 eV per atom. The calculation puts the energy above the most stable polymorph in this dataset at 977 meV/atom. Its uncorrected formation energy is 482 meV per atom.

VASP calculation (PBE-GGA) on a relaxed LiTaSe2Br crystal.

```
LiTaSe2Br
1.0
5.059 0.000 0.000
0.000 5.059 0.000
0.000 0.000 5.241
Li Ta Se Br
1 1 2 1
Direct
0.000 0.000 0.000
0.500 0.500 0.500
0.000 0.500 0.500
0.500 0.000 0.500
0.500 0.500 0.000
```

## Properties
As for the uncorrected energy: -4.9761 eV per atom. The calculation puts the energy above the most stable polymorph in this dataset at 0 meV/atom. Its uncorrected formation energy is -494 meV per atom.

VASP calculation (PBE-GGA) on a relaxed LiTcSe2Br crystal.

```
LiTcSe2Br
1.0
4.803 0.000 0.000
0.000 4.803 0.000
0.000 0.000 5.615
Li Tc Se Br
1 1 2 1
Direct
0.000 0.000 0.000
0.500 0.500 0.500
0.000 0.500 0.500
0.500 0.000 0.500
0.500 0.500 0.000
```

## Properties
As for the uncorrected energy: -4.3394 eV per atom. The calculation puts the energy above the most stable polymorph in this dataset at 0 meV/atom. Its uncorrected formation energy is -155 meV per atom.

VASP calculation (PBE-GGA) on a relaxed LiTeSe2Br crystal.

```
LiTeSe2Br
1.0
5.533 0.000 0.000
0.000 5.533 0.000
0.000 0.000 4.451
Li Te Se Br
1 1 2 1
Direct
0.000 0.000 0.000
0.500 0.500 0.000
0.000 0.500 0.500
0.500 0.000 0.500
0.000 0.000 0.500
```

## Properties
As for the uncorrected energy: -2.5217 eV per atom. The calculation puts the energy above the most stable polymorph in this dataset at 308 meV/atom. Its uncorrected formation energy is 218 meV per atom.

VASP calculation (PBE-GGA) on a relaxed LiTeSe2Br crystal.

```
LiTeSe2Br
1.0
5.412 0.000 0.000
0.000 5.412 0.000
0.000 0.000 5.690
Li Te Se Br
1 1 2 1
Direct
0.000 0.000 0.000
0.500 0.500 0.500
0.000 0.500 0.500
0.500 0.000 0.500
0.500 0.500 0.000
```

## Properties
As for the uncorrected energy: -2.8297 eV per atom. The calculation puts the energy above the most stable polymorph in this dataset at 0 meV/atom. Its uncorrected formation energy is -90 meV per atom.

VASP calculation (PBE-GGA) on a relaxed LiTiSeBr2 crystal.

```
LiTiSeBr2
1.0
4.729 0.000 0.000
0.000 4.729 0.000
0.000 0.000 5.102
Li Ti Se Br
1 1 1 2
Direct
0.000 0.000 0.000
0.500 0.500 0.500
0.000 0.000 0.500
0.000 0.500 0.000
0.500 0.000 0.000
```

## Properties
As for the uncorrected energy: -3.5275 eV per atom. The calculation puts the energy above the most stable polymorph in this dataset at 694 meV/atom. Its uncorrected formation energy is -200 meV per atom.